VCuOF2 GGA+U relaxed; raw total energy = -23.8 eV per cell; space-group type = P4/mmm (123); excess energy over the best structure of this formula in the dataset = 0.840 eV/atom
1.0
3.5143 0.0000 0.0000
0.0000 6.3901 0.0000
0.0000 0.0000 3.5143
F Cu V O
2 1 1 1
direct
0.5000 0.0000 0.0000
0.0000 0.0000 0.5000
0.0000 0.0000 0.0000
0.0000 0.5000 0.0000
0.5000 0.5000 0.5000